Here is a relaxed structure of Tm2Al3Si4 from Alexandria via LeMat-Bulk. Energies are from PBE.

ΔE_f (raw) = -0.34 eV/atom
DFT total energy = -179.823 eV for the cell shown

Lattice parameters (Å, degrees): 5.690 14.545 7.780 90.00 90.00 90.00
Space group Cmce (No. 64)
One atom of each set of equivalent atoms:
Tm  0.000  0.114  0.081 (multiplicity 8)
Al  0.000  0.000  0.500 (multiplicity 4)
Al  0.250  0.217  0.750 (multiplicity 8)
Si  0.000  0.185  0.451 (multiplicity 8)
Si  0.250  0.046  0.750 (multiplicity 8)



Here is a relaxed structure of TmAlSi from Alexandria via LeMat-Bulk. Energies are from PBE.

ΔE_f (raw) = -0.34 eV/atom
DFT total energy = -117.306 eV for the cell shown

Lattice parameters (Å, degrees): 9.244 8.260 7.315 90.00 120.67 90.00
Space group Cc (No. 9)
One atom of each set of equivalent atoms:
Tm  0.000  0.018  0.000 (multiplicity 4)
Tm  0.396  0.135  0.087 (multiplicity 4)
Al  0.009  0.319  0.281 (multiplicity 4)
Al  0.172  0.401  0.055 (multiplicity 4)
Si  0.232  0.304  0.691 (multiplicity 4)
Si  0.270  0.173  0.377 (multiplicity 4)



Here is a relaxed structure of Tm2AlSi3 from Alexandria via LeMat-Bulk. Energies are from PBE.

ΔE_f (raw) = -0.57 eV/atom
DFT total energy = -129.445 eV for the cell shown

Lattice parameters (Å, degrees): 6.598 4.067 17.287 90.00 90.00 90.00
Space group Pnma (No. 62)
One atom of each set of equivalent atoms:
Tm  0.165  0.250  0.203 (multiplicity 4)
Tm  0.167  0.250  0.416 (multiplicity 4)
Al  0.045  0.750  0.066 (multiplicity 4)
Si  0.025  0.250  0.679 (multiplicity 4)
Si  0.157  0.250  0.809 (multiplicity 4)
Si  0.249  0.750  0.536 (multiplicity 4)



Here is a relaxed structure of TmAlSi from Alexandria via LeMat-Bulk. Energies are from PBE.

ΔE_f (raw) = -0.61 eV/atom
DFT total energy = -61.834 eV for the cell shown

Lattice parameters (Å, degrees): 3.984 10.150 5.654 90.00 90.00 90.00
Space group Cmcm (No. 63)
One atom of each set of equivalent atoms:
Tm  0.000  0.195  0.250 (multiplicity 4)
Al  0.000  0.500  0.000 (multiplicity 4)
Si  0.000  0.100  0.750 (multiplicity 4)



Here is a relaxed structure of Tm5AlSi2 from Alexandria via LeMat-Bulk. Energies are from PBE.

ΔE_f (raw) = -0.56 eV/atom
DFT total energy = -165.613 eV for the cell shown

Lattice parameters (Å, degrees): 7.521 7.521 13.631 90.00 90.00 90.00
Space group I4/mcm (No. 140)
One atom of each set of equivalent atoms:
Tm  0.000  0.000  0.000 (multiplicity 4)
Tm  0.169  0.331  0.142 (multiplicity 16)
Al  0.000  0.000  0.250 (multiplicity 4)
Si  0.128  0.372  0.500 (multiplicity 8)



Here is a relaxed structure of Tm2AlSi from Alexandria via LeMat-Bulk. Energies are from PBE.

ΔE_f (raw) = -0.63 eV/atom
DFT total energy = -41.275 eV for the cell shown

Lattice parameters (Å, degrees): 5.744 3.927 8.345 90.00 107.47 90.00
Space group P2_1/m (No. 11)
One atom of each set of equivalent atoms:
Tm  0.201  0.250  0.423 (multiplicity 2)
Tm  0.281  0.750  0.066 (multiplicity 2)
Al  0.365  0.750  0.712 (multiplicity 2)
Si  0.140  0.250  0.791 (multiplicity 2)



Here is a relaxed structure of Tm2Al3Si from Alexandria via LeMat-Bulk. Energies are from PBE.

ΔE_f (raw) = -0.48 eV/atom
DFT total energy = -28.445 eV for the cell shown

Lattice parameters (Å, degrees): 3.767 4.306 7.447 90.00 90.00 90.00
Space group Pmm2 (No. 25)
One atom of each set of equivalent atoms:
Tm  0.000  0.000  0.000 (multiplicity 1)
Tm  0.000  0.500  0.478 (multiplicity 1)
Al  0.500  0.000  0.649 (multiplicity 1)
Al  0.500  0.500  0.158 (multiplicity 1)
Al  0.500  0.500  0.820 (multiplicity 1)
Si  0.500  0.000  0.321 (multiplicity 1)



Here is a relaxed structure of Tm2Al2Si3 from Alexandria via LeMat-Bulk. Energies are from PBE.

ΔE_f (raw) = -0.46 eV/atom
DFT total energy = -143.677 eV for the cell shown

Lattice parameters (Å, degrees): 14.833 4.091 11.485 90.00 126.87 90.00
Space group C2/m (No. 12)
One atom of each set of equivalent atoms:
Tm  0.096  0.000  0.442 (multiplicity 4)
Tm  0.231  0.000  0.834 (multiplicity 4)
Al  0.052  0.500  0.814 (multiplicity 4)
Al  0.095  0.000  0.164 (multiplicity 4)
Si  0.087  0.500  0.620 (multiplicity 4)
Si  0.118  0.000  0.966 (multiplicity 4)
Si  0.166  0.500  0.323 (multiplicity 4)



Here is a relaxed structure of Tm2Al3Si2 from Alexandria via LeMat-Bulk. Energies are from PBE.

ΔE_f (raw) = -0.41 eV/atom
DFT total energy = -67.704 eV for the cell shown

Lattice parameters (Å, degrees): 3.723 18.404 3.983 90.00 90.00 90.00
Space group Cmmm (No. 65)
One atom of each set of equivalent atoms:
Tm  0.000  0.165  0.000 (multiplicity 4)
Al  0.000  0.000  0.000 (multiplicity 2)
Al  0.000  0.429  0.500 (multiplicity 4)
Si  0.000  0.290  0.500 (multiplicity 4)



Here is a relaxed structure of Tm2Al3Si2 from Alexandria via LeMat-Bulk. Energies are from PBE.

ΔE_f (raw) = -0.53 eV/atom
DFT total energy = -69.477 eV for the cell shown

Lattice parameters (Å, degrees): 10.053 4.022 6.554 90.00 100.76 90.00
Space group C2/m (No. 12)
One atom of each set of equivalent atoms:
Tm  0.119  0.000  0.323 (multiplicity 4)
Al  0.000  0.500  0.000 (multiplicity 2)
Al  0.195  0.000  0.867 (multiplicity 4)
Si  0.094  0.500  0.639 (multiplicity 4)



Here is a relaxed structure of TmAl2Si from Alexandria via LeMat-Bulk. Energies are from PBE.

ΔE_f (raw) = -0.36 eV/atom
DFT total energy = -18.834 eV for the cell shown

Lattice parameters (Å, degrees): 4.125 4.125 4.288 90.00 90.00 90.00
Space group P4/mmm (No. 123)
One atom of each set of equivalent atoms:
Tm  0.000  0.000  0.000 (multiplicity 1)
Al  0.000  0.500  0.500 (multiplicity 2)
Si  0.500  0.500  0.000 (multiplicity 1)



Here is a relaxed structure of Tm2AlSi from Alexandria via LeMat-Bulk. Energies are from PBE.

ΔE_f (raw) = -0.64 eV/atom
DFT total energy = -41.314 eV for the cell shown

Lattice parameters (Å, degrees): 3.940 4.273 10.652 90.00 90.00 90.00
Space group Amm2 (No. 38)
One atom of each set of equivalent atoms:
Tm  0.000  0.000  0.000 (multiplicity 2)
Tm  0.500  0.000  0.283 (multiplicity 2)
Al  0.000  0.000  0.714 (multiplicity 2)
Si  0.500  0.000  0.563 (multiplicity 2)



Here is a relaxed structure of Tm3Al2Si3 from Alexandria via LeMat-Bulk. Energies are from PBE.

ΔE_f (raw) = -0.61 eV/atom
DFT total energy = -168.230 eV for the cell shown

Lattice parameters (Å, degrees): 4.097 10.849 14.009 90.00 90.00 90.00
Space group Cmcm (No. 63)
One atom of each set of equivalent atoms:
Tm  0.000  0.062  0.117 (multiplicity 8)
Tm  0.000  0.355  0.250 (multiplicity 4)
Al  0.000  0.223  0.598 (multiplicity 8)
Si  0.000  0.359  0.750 (multiplicity 4)
Si  0.000  0.393  0.038 (multiplicity 8)



Here is a relaxed structure of YTmAlSi from Alexandria via LeMat-Bulk. Energies are from PBE.

ΔE_f (raw) = -0.66 eV/atom
DFT total energy = -45.469 eV for the cell shown

Lattice parameters (Å, degrees): 3.967 4.305 10.745 90.00 90.00 90.00
Space group Amm2 (No. 38)
One atom of each set of equivalent atoms:
Y  0.000  0.000  0.000 (multiplicity 2)
Tm  0.500  0.000  0.282 (multiplicity 2)
Al  0.500  0.000  0.570 (multiplicity 2)
Si  0.000  0.000  0.719 (multiplicity 2)



Here is a relaxed structure of UAlSi from Alexandria via LeMat-Bulk. Energies are from PBE.

ΔE_f (raw) = -0.29 eV/atom
DFT total energy = -85.313 eV for the cell shown

Lattice parameters (Å, degrees): 7.267 3.695 7.919 90.00 90.00 90.00
Space group Pnma (No. 62)
One atom of each set of equivalent atoms:
U  0.015  0.250  0.111 (multiplicity 4)
Al  0.141  0.250  0.568 (multiplicity 4)
Si  0.200  0.750  0.352 (multiplicity 4)



Here is a relaxed structure of U2Al3Si from Alexandria via LeMat-Bulk. Energies are from PBE.

ΔE_f (raw) = -0.21 eV/atom
DFT total energy = -121.388 eV for the cell shown

Lattice parameters (Å, degrees): 5.3049 5.3049 13.4972 90.00 90.00 120.00
Space group R-3m (No. 166, hexagonal axes)
One atom of each set of equivalent atoms:
U  0.0000  0.0000  0.1322 (multiplicity 6)
Al  0.0000  0.5000  0.0000 (multiplicity 9)
Si  0.0000  0.0000  0.5000 (multiplicity 3)



Here is a relaxed structure of UAlSi from Alexandria via LeMat-Bulk. Energies are from PBE.

ΔE_f (raw) = -0.04 eV/atom
DFT total energy = -82.256 eV for the cell shown

Lattice parameters (Å, degrees): 7.339 2.822 10.289 90.00 90.00 90.00
Space group Pnma (No. 62)
One atom of each set of equivalent atoms:
U  0.142  0.250  0.077 (multiplicity 4)
Al  0.073  0.250  0.393 (multiplicity 4)
Si  0.159  0.250  0.780 (multiplicity 4)



Here is a relaxed structure of UAl2Si from Alexandria via LeMat-Bulk. Energies are from PBE.

energy relative to the lowest polymorph listed for this composition = 0 meV/atom
ΔE_f (raw) = -0.23 eV/atom
DFT total energy = -25.123 eV for the cell shown

Lattice parameters (Å, degrees): 4.079 4.079 4.332 90.00 90.00 90.00
Space group P4/mmm (No. 123)
One atom of each set of equivalent atoms:
U  0.000  0.000  0.000 (multiplicity 1)
Al  0.000  0.500  0.500 (multiplicity 2)
Si  0.500  0.500  0.000 (multiplicity 1)



Here is a relaxed structure of UAlSi from Alexandria via LeMat-Bulk. Energies are from PBE.

ΔE_f (raw) = -0.01 eV/atom
DFT total energy = -81.906 eV for the cell shown

Lattice parameters (Å, degrees): 4.273 5.924 8.756 90.00 90.00 90.00
Space group Immm (No. 71)
One atom of each set of equivalent atoms:
U  0.000  0.000  0.140 (multiplicity 4)
Al  0.000  0.500  0.144 (multiplicity 4)
Si  0.000  0.211  0.500 (multiplicity 4)



Here is a relaxed structure of U2Al3Si3 from Alexandria via LeMat-Bulk. Energies are from PBE.

ΔE_f (raw) = -0.28 eV/atom
DFT total energy = -52.300 eV for the cell shown

Lattice parameters (Å, degrees): 4.139 4.247 7.975 90.00 90.00 90.00
Space group Pmmm (No. 47)
One atom of each set of equivalent atoms:
U  0.000  0.000  0.240 (multiplicity 2)
Al  0.000  0.500  0.500 (multiplicity 1)
Al  0.500  0.500  0.248 (multiplicity 2)
Si  0.000  0.500  0.000 (multiplicity 1)
Si  0.500  0.000  0.000 (multiplicity 1)
Si  0.500  0.000  0.500 (multiplicity 1)



Here is a relaxed structure of UAl2Si from Alexandria via LeMat-Bulk. Energies are from PBE.

energy relative to the lowest polymorph listed for this composition = 174 meV/atom
ΔE_f (raw) = -0.06 eV/atom
DFT total energy = -48.854 eV for the cell shown

Lattice parameters (Å, degrees): 4.006 4.021 9.325 90.00 90.00 90.00
Space group Immm (No. 71)
One atom of each set of equivalent atoms:
U  0.000  0.000  0.000 (multiplicity 2)
Al  0.000  0.500  0.250 (multiplicity 4)
Si  0.000  0.000  0.500 (multiplicity 2)



Here is a relaxed structure of AlV2Si from Alexandria via LeMat-Bulk. Energies are from PBE.

energy relative to the lowest polymorph listed for this composition = 156 meV/atom
ΔE_f (raw) = -0.15 eV/atom
DFT total energy = -28.023 eV for the cell shown

Lattice parameters (Å, degrees): 2.666 2.674 8.504 97.19 97.17 101.73
Space group P1 (No. 1)
One atom of each set of equivalent atoms:
Al  0.000  0.000  0.000 (multiplicity 1)
V  0.381  0.382  0.762 (multiplicity 1)
V  0.759  0.761  0.516 (multiplicity 1)
Si  0.151  0.154  0.300 (multiplicity 1)



Here is a relaxed structure of AlVSi from Alexandria via LeMat-Bulk. Energies are from PBE.

ΔE_f (raw) = -0.09 eV/atom
DFT total energy = -18.564 eV for the cell shown

Lattice parameters (Å, degrees): 4.3298 4.3298 2.5551 90.00 90.00 120.00
Space group P3m1 (No. 156)
One atom of each set of equivalent atoms:
Al  0.0000  0.0000  0.0000 (multiplicity 1)
V  0.6667  0.3333  0.4969 (multiplicity 1)
Si  0.3333  0.6667  0.9882 (multiplicity 1)